# 1
Entry from Alexandria: crystalline Ca2SCl at its relaxed geometry (GGA-PBE).

Geometry as POSCAR:
```
Ca2SCl
1.0
-3.176 3.176 6.389
3.176 -3.176 6.389
3.176 3.176 -6.389
Ca S Cl
4 2 2
Direct
0.106 0.625 0.981
0.375 0.356 0.481
0.644 0.125 0.019
0.875 0.894 0.519
0.000 0.000 0.000
0.750 0.250 0.500
0.250 0.750 0.500
0.500 0.500 0.000
```

mass density: 1.90 g/cm3
V: 32.2 Å³/atom
energy relative to the lowest polymorph listed for this composition: 188 meV/atom
formation energy (no corrections): -1.6515 eV per atom

***

# 2
Entry from Alexandria: crystalline RbHg3Pt at its relaxed geometry (GGA-PBE).

Geometry as POSCAR:
```
RbHg3Pt
1.0
6.678 0.000 0.000
0.000 6.678 0.000
0.000 0.000 6.678
Rb Hg Pt
1 3 1
Direct
0.000 0.000 0.000
0.000 0.000 0.500
0.000 0.500 0.000
0.500 0.000 0.000
0.500 0.500 0.500
```

mass density: 4.92 g/cm3
V: 59.6 Å³/atom
ΔE_f: 0.867 eV/atom
energy relative to the lowest polymorph listed for this composition: 1150 meV/atom

***

# 3
Entry from Alexandria: crystalline TaCu2Pb at its relaxed geometry (GGA-PBE).

Geometry as POSCAR:
```
TaCu2Pb
1.0
5.126 -1.511 0.000
5.126 1.511 0.000
-1.869 0.000 4.427
Ta Cu Pb
1 2 1
Direct
0.000 0.000 0.000
0.246 0.246 0.856
0.541 0.541 0.537
0.780 0.780 0.374
```

mass density: 12.48 g/cm3
V: 17.1 Å³/atom
ΔE_f: 0.458 eV/atom

***

# 4
Entry from Alexandria: crystalline NaHoPaSe4 at its relaxed geometry (GGA-PBE).

Geometry as POSCAR:
```
NaHoPaSe4
1.0
-4.220 4.320 5.989
4.220 -4.320 5.989
4.220 4.320 -5.989
Na Ho Pa Se
2 2 2 8
Direct
0.383 0.133 0.250
0.617 0.867 0.750
0.000 0.000 0.500
0.000 0.500 0.000
0.000 0.500 0.500
0.500 0.500 0.000
0.212 0.738 0.474
0.237 0.262 0.974
0.240 0.263 0.523
0.240 0.717 0.977
0.760 0.283 0.023
0.760 0.737 0.477
0.763 0.738 0.026
0.788 0.262 0.526
```

mass density: 5.59 g/cm3
V: 31.2 Å³/atom
formation energy (no corrections): -1.5173 eV per atom

***

# 5
Entry from Alexandria: crystalline Co2SiPb at its relaxed geometry (GGA-PBE).

Geometry as POSCAR:
```
Co2SiPb
1.0
0.000 3.062 3.062
3.062 0.000 3.062
3.062 3.062 0.000
Co Si Pb
2 1 1
Direct
0.250 0.250 0.250
0.750 0.750 0.750
0.000 0.000 0.000
0.500 0.500 0.500
```

mass density: 10.21 g/cm3
V: 14.4 Å³/atom
energy relative to the lowest polymorph listed for this composition: 329 meV/atom
formation energy (no corrections): 0.3685 eV per atom

***

# 6
Entry from Alexandria: crystalline Hg2IrCl at its relaxed geometry (GGA-PBE).

Geometry as POSCAR:
```
Hg2IrCl
1.0
3.061 0.000 0.000
0.000 5.051 0.000
0.000 0.000 5.055
Hg Ir Cl
2 1 1
Direct
0.000 0.000 0.000
0.000 0.500 0.488
0.499 0.000 0.499
0.501 0.500 0.986
```

mass density: 13.36 g/cm3
V: 19.5 Å³/atom
energy relative to the lowest polymorph listed for this composition: 268 meV/atom
formation energy (no corrections): 0.4089 eV per atom

***

# 7
Entry from Alexandria: crystalline Ca2Ac2La7 at its relaxed geometry (GGA-PBE).

Geometry as POSCAR:
```
Ca2Ac2La7
1.0
3.651 -5.926 0.000
3.651 5.926 0.000
-3.381 0.000 9.971
Ca Ac La
2 2 7
Direct
0.222 0.778 0.000
0.778 0.222 0.000
0.263 0.263 0.860
0.737 0.737 0.140
0.000 0.000 0.500
0.213 0.650 0.647
0.275 0.275 0.253
0.350 0.787 0.353
0.650 0.213 0.647
0.725 0.725 0.747
0.787 0.350 0.353
```

mass density: 5.80 g/cm3
V: 39.2 Å³/atom
ΔE_f: 0.117 eV/atom

***

# 8
Entry from Alexandria: crystalline NaLiPuI6 at its relaxed geometry (GGA-PBE).

Geometry as POSCAR:
```
NaLiPuI6
1.0
7.622 0.000 0.000
-3.811 6.601 0.000
0.000 0.000 14.459
Na Li Pu I
2 2 2 12
Direct
0.000 0.000 0.000
0.000 0.000 0.500
0.333 0.667 0.250
0.667 0.333 0.750
0.333 0.667 0.750
0.667 0.333 0.250
0.001 0.353 0.630
0.001 0.648 0.870
0.352 0.353 0.870
0.352 0.999 0.630
0.353 0.001 0.130
0.353 0.352 0.370
0.647 0.648 0.630
0.647 0.999 0.870
0.648 0.001 0.370
0.648 0.647 0.130
0.999 0.352 0.130
0.999 0.647 0.370
```

mass density: 4.73 g/cm3
V: 40.4 Å³/atom
formation energy (no corrections): -1.0058 eV per atom

***

# 9
Entry from Alexandria: crystalline DyYThIn at its relaxed geometry (GGA-PBE).

Geometry as POSCAR:
```
DyYThIn
1.0
0.000 3.869 3.869
3.869 0.000 3.869
3.869 3.869 0.000
Dy Y Th In
1 1 1 1
Direct
0.000 0.000 0.000
0.500 0.500 0.500
0.750 0.750 0.750
0.250 0.250 0.250
```

mass density: 8.58 g/cm3
V: 29.0 Å³/atom
ΔE_f: -0.031 eV/atom

***

# 10
Entry from Alexandria: crystalline KRuCl6 at its relaxed geometry (GGA-PBE).

Geometry as POSCAR:
```
KRuCl6
1.0
4.980 -4.484 0.000
4.980 4.484 0.000
-0.617 0.000 11.039
K Ru Cl
2 2 12
Direct
0.016 0.984 0.750
0.984 0.016 0.250
0.000 0.500 0.500
0.500 0.000 0.000
0.087 0.524 0.300
0.189 0.193 0.008
0.193 0.189 0.508
0.278 0.657 0.565
0.343 0.722 0.935
0.476 0.913 0.200
0.524 0.087 0.800
0.657 0.278 0.065
0.722 0.343 0.435
0.807 0.811 0.492
0.811 0.807 0.992
0.913 0.476 0.700
```

mass density: 2.38 g/cm3
V: 30.8 Å³/atom
energy relative to the lowest polymorph listed for this composition: 0 meV/atom
formation energy (no corrections): -0.8277 eV per atom

***

# 11
Entry from Alexandria: crystalline Ac2PtPb at its relaxed geometry (GGA-PBE).

Geometry as POSCAR:
```
Ac2PtPb
1.0
4.411 0.000 0.000
-2.206 3.820 0.000
0.000 0.000 8.405
Ac Pt Pb
2 1 1
Direct
0.333 0.667 0.205
0.667 0.333 0.795
0.000 0.000 0.000
0.000 0.000 0.500
```

mass density: 10.05 g/cm3
V: 35.4 Å³/atom
ΔE_f: -0.744 eV/atom

***

# 12
Entry from Alexandria: crystalline TaTl2Cu at its relaxed geometry (GGA-PBE).

Geometry as POSCAR:
```
TaTl2Cu
1.0
1.585 -2.739 0.000
1.585 2.739 0.000
0.000 0.000 9.470
Ta Tl Cu
1 2 1
Direct
0.000 0.000 0.000
0.500 0.500 0.266
0.500 0.500 0.734
0.000 0.000 0.500
```

mass density: 13.19 g/cm3
V: 20.6 Å³/atom
ΔE_f: 0.538 eV/atom
energy relative to the lowest polymorph listed for this composition: 110 meV/atom

***

Question: Which of these has the lowest V?
Answer: Co2SiPb